Crystalline HfZr2AuC at its relaxed geometry, computed with PBE.

Results
Fermi-level density of states	1.9	states/eV/f.u.
electronic total energy	-8.475	eV/atom

Cell: 4.5241 4.5241 4.4711 Å, 90.00 90.00 90.00°
Closest atoms and distances in Å follow each position.
Space group P4/mmm (No. 123)
Asymmetric unit:
Hf 0.0000 0.0000 0.0000 (multiplicity 1)  2 C 2.24
Zr 0.0000 0.5000 0.5000 (multiplicity 2)  2 C 2.26
Au 0.5000 0.5000 0.0000 (multiplicity 1)  8 Zr 3.18, 4 Hf 3.20
C 0.0000 0.0000 0.5000 (multiplicity 1)  2 Hf 2.24, 4 Zr 2.26